Compound: InIr2Se
Source: the Alexandria database
Functional: PBE
Structure: optimized geometry

Cell: 3.0357 3.5979 6.1263 Å, 90.00 90.00 90.00°
Fractional positions:
In 0.5000 0.5000 0.7500
Ir 0.0000 0.0000 0.0148
Ir 0.0000 0.0000 0.4852
Se 0.5000 0.5000 0.2500

Calculated values
Volume: 16.7 A^3/atom
Space-group type: Pmmm



Compound: IrPt4S2
Source: the Alexandria database
Functional: PBE
Structure: optimized geometry

Cell: 4.8517 4.8517 7.0080 Å, 69.75 69.75 90.00°
Fractional positions:
S 0.6087 0.6087 0.7827
Pt 0.0000 0.5000 0.0000
S 0.3913 0.3913 0.2173
Ir 0.0000 0.0000 0.0000
Pt 0.7839 0.7839 0.4322
Pt 0.2161 0.2161 0.5678
Pt 0.5000 0.0000 0.0000

Calculated values
Volume: 20.5 A^3/atom
Space-group type: I4/mmm



Compound: K2BaVCl8
Source: the Alexandria database
Functional: PBE
Structure: optimized geometry

Cell: 5.8606 7.6923 8.9707 Å, 90.08 89.92 109.56°
Fractional positions:
Cl 0.0618 0.8044 0.1888
Cl 0.5279 0.2512 0.5008
Cl 0.4721 0.7488 0.4992
Ba 0.0000 0.0000 0.5000
K 0.5027 0.4991 0.2420
Cl 0.0605 0.8035 0.8108
V 0.0000 0.0000 0.0000
Cl 0.9382 0.1956 0.8112
Cl 0.9395 0.1965 0.1892
Cl 0.3982 0.1722 0.9992
K 0.4973 0.5009 0.7580
Cl 0.6018 0.8278 0.0008

Calculated values
Volume: 31.8 A^3/atom
Space-group type: P-1



Let's list formation energy without anion corrections in order: 0.30, 0.95, -1.70 eV/atom.